! CeSnGe, optimized geometry, DFT PBE; values from VASP
&SYSTEM
  ibrav = 0, nat = 12, ntyp = 3
/
ATOMIC_SPECIES
Ce 140.12 Ce.upf
Sn 118.71 Sn.upf
Ge 72.64 Ge.upf
CELL_PARAMETERS angstrom
4.556 0.000 0.000
0.000 10.180 0.000
0.000 0.000 6.319
ATOMIC_POSITIONS crystal
Ce 0.000 0.175 0.250
Ce 0.000 0.825 0.750
Ce 0.500 0.325 0.750
Ce 0.500 0.675 0.250
Sn 0.000 0.500 0.000
Sn 0.000 0.500 0.500
Sn 0.500 0.000 0.000
Sn 0.500 0.000 0.500
Ge 0.000 0.126 0.750
Ge 0.000 0.874 0.250
Ge 0.500 0.374 0.250
Ge 0.500 0.626 0.750
! SG   Cmcm (63)
! ΔE_f   -0.576 eV per atom
! VASP energy   -65.1 eV per cell

---

! Mg5HIr3, optimized geometry, DFT PBE; values from VASP
&SYSTEM
  ibrav = 0, nat = 9, ntyp = 3
/
ATOMIC_SPECIES
Mg 24.30 Mg.upf
H 1.01 H.upf
Ir 192.22 Ir.upf
CELL_PARAMETERS angstrom
3.229 -3.246 0.000
3.229 3.246 0.000
-0.061 0.000 6.362
ATOMIC_POSITIONS crystal
Mg 0.000 0.000 0.000
Mg 0.005 0.496 0.727
Mg 0.496 0.005 0.727
Mg 0.497 0.991 0.268
Mg 0.991 0.497 0.268
H 0.554 0.554 0.755
Ir 0.486 0.486 0.018
Ir 0.494 0.494 0.485
Ir 0.996 0.996 0.498
! SG   Cm (8)
! VASP energy   -40.6 eV per cell

---

no.,M_tot (μB per cell),offset from the most stable computed form (eV/f.u.)
1,1.38,0.046
2,0.00,0.485